MgAl2PdPt | PBE-GGA | relaxed

POSCAR file:
```
MgAl2PdPt
1.0
4.816 0.000 0.000
0.000 4.816 0.000
0.000 0.000 4.448
Mg Al Pd Pt
1 2 1 1
direct
0.000 0.000 0.000 Mg
0.000 0.500 0.000 Al
0.500 0.000 0.000 Al
0.000 0.000 0.500 Pd
0.500 0.500 0.500 Pt
```

Properties
DFT formation energy: 0.890 eV/atom
N(E_F): 2.719 states/eV per cell

***

PmPrIr | PBE-GGA | relaxed

POSCAR file:
```
PmPrIr
1.0
5.597 0.000 0.000
0.000 4.554 0.000
-2.256 0.000 7.040
Pm Pr Ir
2 2 2
direct
0.246 0.250 0.442 Pm
0.754 0.750 0.558 Pm
0.240 0.250 0.951 Pr
0.760 0.750 0.049 Pr
0.312 0.750 0.223 Ir
0.688 0.250 0.777 Ir
```

Properties
DFT formation energy: -0.533 eV/atom
N(E_F): 4.653 states/eV per cell